Entry 1:
A geometry-optimized CdNi3F structure. Source: Alexandria via LeMat-Bulk, functional GGA+U.

Lattice parameters (Å, degrees): 4.155 4.155 4.155 90.00 90.00 90.00
Each line ends with the local moment (μB).
Element x y z (fractional)
Ni 0.000 0.000 0.500  1.04
Ni 0.500 0.000 0.000  0.95
Ni 0.000 0.500 0.000  0.97
Cd 0.500 0.500 0.500  -0.01
F 0.000 0.000 0.000  0.05

Summary:
The space group is No. 221. The calculation puts the total energy at -2.000 eV/atom. As for the crystal system: cubic.

Entry 2:
A geometry-optimized CdNi2F structure. Source: Alexandria via LeMat-Bulk, functional GGA+U.

Lattice parameters (Å, degrees): 4.604 4.604 7.383 71.83 71.83 90.00
Each line ends with the local moment (μB).
Element x y z (fractional)
Cd 0.000 0.000 0.000  -0.02
Cd 0.750 0.250 0.500  -0.02
F 0.250 0.750 0.500  -0.01
F 0.500 0.500 0.000  -0.01
Ni 0.277 0.625 0.250  0.95
Ni 0.375 0.527 0.750  0.95
Ni 0.473 0.125 0.250  0.95
Ni 0.875 0.723 0.750  0.95

Summary:
The space group is No. 122. The calculation puts the total energy at -1.994 eV/atom. As for the crystal system: tetragonal.

Entry 3:
A geometry-optimized CdNiF2 structure. Source: Alexandria via LeMat-Bulk, functional GGA+U.

Lattice parameters (Å, degrees): 6.824 6.824 5.662 52.94 52.94 90.00
Each line ends with the local moment (μB).
Element x y z (fractional)
Cd 0.000 0.000 0.000  0.03
Cd 0.750 0.250 0.500  0.03
Ni 0.500 0.500 0.000  1.72
Ni 0.250 0.750 0.500  1.72
F 0.267 0.625 0.250  0.03
F 0.483 0.125 0.250  0.04
F 0.875 0.733 0.750  0.04
F 0.375 0.517 0.750  0.04

Summary:
The space group is No. 122. The calculation puts the total energy at -2.999 eV/atom. As for the crystal system: tetragonal.

Entry 4:
A geometry-optimized Cd2NiF2 structure. Source: Alexandria via LeMat-Bulk, functional GGA+U.

Lattice parameters (Å, degrees): 7.011 7.011 2.947 90.00 90.00 90.00
Element x y z (fractional)
Cd 0.319 0.181 0.500
Cd 0.681 0.819 0.500
Cd 0.181 0.681 0.500
Cd 0.819 0.319 0.500
F 0.123 0.377 0.000
F 0.623 0.123 0.000
F 0.877 0.623 0.000
F 0.377 0.877 0.000
Ni 0.500 0.500 0.000
Ni 0.000 0.000 0.000

Summary:
The space group is No. 127. The calculation puts the total energy at -2.144 eV/atom. As for the crystal system: tetragonal.

> Which value of total energy does entry 4 give?

-2.144 eV/atom